Model A:
132
Lattice="-7.8165 7.8165 7.8165 7.8165 -7.8165 7.8165 7.8165 7.8165 -7.8165" Properties=species:S:1:pos:R:3 comment="MgB2H8 | Alexandria | GGA-PBEsol | optimized geometry" magnetic_moment_mub_per_fu=0.0 mass_density_kg_m3=563 pbc="T T T"
Mg 11.7248 1.9541 0.0000
Mg 7.8165 -3.9083 5.8624
Mg 5.8624 7.8165 -3.9083
Mg 5.8624 0.0000 3.9083
Mg 3.9083 5.8624 0.0000
Mg 7.8165 3.9083 1.9541
Mg 0.0000 3.9083 5.8624
Mg 3.9083 1.9541 7.8165
Mg 1.9541 7.8165 3.9083
Mg 1.9541 0.0000 11.7248
Mg 0.0000 11.7248 1.9541
Mg -3.9083 5.8624 7.8165
B 6.8707 5.8624 -4.8541
B 4.8541 -0.9458 1.9541
B 5.8624 -4.8541 6.8707
B 6.8707 -1.9541 4.8541
B 12.6706 0.9458 1.9541
B 1.9541 4.8541 -0.9458
B 9.7707 2.9624 0.9458
B 4.8541 6.8707 -1.9541
B 6.8707 1.9541 2.9624
B 5.8624 4.8541 0.9458
B -0.9458 1.9541 4.8541
B 4.8541 0.9458 5.8624
B 2.9624 6.8707 1.9541
B 8.7624 5.8624 2.9624
B 1.9541 2.9624 6.8707
B 0.9458 5.8624 4.8541
B 2.9624 0.9458 9.7707
B -1.9541 4.8541 6.8707
B 5.8624 2.9624 8.7624
B -4.8541 6.8707 5.8624
B 0.9458 9.7707 2.9624
B 1.9541 12.6706 0.9458
B 2.9624 8.7624 5.8624
B 0.9458 1.9541 12.6706
H 10.9519 2.1614 -1.8745
H 8.5894 -5.7827 6.0697
H 7.2493 4.9034 -4.1808
H 4.4755 -0.2725 0.9952
H 5.9420 -4.6812 5.6551
H 13.5993 1.7468 -0.7729
H 5.6551 5.9420 -4.6812
H 6.0697 -0.7729 2.0338
H 7.2493 -2.9131 4.1808
H 12.2920 0.2725 0.9952
H 7.5440 6.8214 -4.4755
H 4.1808 -0.5672 2.9131
H 9.8503 1.7468 0.7729
H 9.6910 -3.1354 5.6551
H 6.0697 8.5894 -5.7827
H 5.6551 -1.8745 4.6812
H 4.9034 -4.1808 7.2493
H 6.8214 -4.4755 7.5440
H 7.5440 -0.9952 4.4755
H 11.9973 0.5672 2.9131
H 2.9131 4.1808 -0.5672
H 8.8117 3.3410 0.2725
H 4.6812 5.6551 -1.8745
H 7.0436 2.0338 1.7468
H 7.0436 -2.0338 6.0697
H 12.4977 2.1614 1.8745
H 0.9952 4.4755 -0.2725
H 10.7296 3.6358 0.5672
H 4.1808 7.2493 -2.9131
H 7.5440 0.9952 3.3410
H 4.9034 4.1808 0.5672
H 6.8214 4.4755 0.2725
H 6.0697 7.0436 -2.0338
H 5.6551 1.8745 3.1354
H 2.0338 6.0697 -0.7729
H 9.6910 3.1354 2.1614
H -0.2725 0.9952 4.4755
H 4.1808 0.5672 4.9034
H 5.6551 9.6910 -3.1354
H 4.4755 7.5440 -0.9952
H 7.2493 2.9131 3.6358
H 6.0697 0.7729 5.7827
H 5.7827 6.0697 0.7729
H 5.9420 4.6812 2.1614
H -0.5672 2.9131 4.1808
H 4.4755 0.2725 6.8214
H 3.1354 5.6551 1.8745
H 8.5894 5.7827 1.7468
H -0.7729 2.0338 6.0697
H 4.6812 2.1614 5.9420
H 3.3410 7.5440 0.9952
H 8.3838 4.9034 3.6358
H 1.8745 3.1354 5.6551
H 2.0338 1.7468 7.0436
H 1.7468 7.0436 2.0338
H 0.5672 4.9034 4.1808
H 3.3410 0.2725 8.8117
H 2.1614 -1.8745 10.9519
H 3.6358 7.2493 2.9131
H 8.0890 6.8214 3.3410
H -1.8745 4.6812 5.6551
H 5.7827 1.7468 8.5894
H 2.1614 5.9420 4.6812
H 1.7468 0.7729 9.8503
H 0.9952 3.3410 7.5440
H 2.9131 3.6358 7.2493
H 0.2725 6.8214 4.4755
H 3.6358 0.5672 10.7296
H -2.9131 4.1808 7.2493
H 6.8214 3.3410 8.0890
H -4.6812 5.6551 5.9420
H 0.7729 9.8503 1.7468
H 0.7729 5.7827 6.0697
H 3.1354 2.1614 9.6910
H -0.9952 4.4755 7.5440
H 4.9034 3.6358 8.3838
H -4.1808 7.2493 4.9034
H 0.2725 8.8117 3.3410
H 0.9952 12.2920 0.2725
H 2.9131 11.9973 0.5672
H 2.1614 9.6910 3.1354
H 1.7468 -0.7729 13.5993
H -1.8745 10.9519 2.1614
H -2.0338 6.0697 7.0436
H 3.6358 8.3838 4.9034
H 0.2725 0.9952 12.2920
H -4.4755 7.5440 6.8214
H 0.5672 10.7296 3.6358
H 1.7468 8.5894 5.7827
H 2.1614 1.8745 12.4977
H -5.7827 6.0697 8.5894
H 1.8745 12.4977 2.1614
H 3.3410 8.0890 6.8214
H 0.5672 2.9131 11.9973
H -0.7729 13.5993 1.7468
H -3.1354 5.6551 9.6910


Model B:
44
Lattice="-3.7193 3.7193 6.1820 3.7193 -3.7193 6.1820 3.7193 3.7193 -6.1820" Properties=species:S:1:pos:R:3 comment="MgB2H8 | Alexandria | GGA-PBEsol | optimized geometry" magnetic_moment_mub_per_fu=0.0 mass_density_kg_m3=1048 pbc="T T T"
Mg 3.7193 1.8597 -1.5455
Mg 0.0000 1.8597 1.5455
Mg 3.7193 1.8597 4.6365
Mg 0.0000 1.8597 7.7274
B 1.8597 1.5749 0.0000
B 0.2848 0.0000 3.0910
B 4.0041 0.0000 3.0910
B 1.8597 -1.5749 6.1820
B 1.8597 5.2942 0.0000
B -0.2848 3.7193 3.0910
B 3.4346 3.7193 3.0910
B 1.8597 2.1444 6.1820
H 0.8761 0.8374 -0.0533
H 5.6407 1.4176 -0.9915
H 1.0223 -0.9836 3.0377
H 2.8432 0.8374 0.0533
H 4.7416 -0.9836 3.1443
H 3.2772 3.6576 -4.0824
H 3.2772 0.0617 2.0995
H 1.7979 2.3018 -0.9915
H 5.5173 1.4176 0.9915
H 3.2772 -0.0617 4.0824
H 3.2772 3.7811 -2.0995
H 4.7416 0.9836 3.0377
H 2.8432 -0.8374 6.1287
H 1.0223 0.9836 3.1443
H 1.9214 2.3018 0.9915
H 0.8761 -0.8374 6.2353
H 2.8432 4.5567 -0.0533
H 1.7979 1.4176 5.1905
H 2.6971 2.7358 3.0377
H 0.8761 4.5567 0.0533
H -1.0223 2.7358 3.1443
H 0.4421 -0.0617 8.2815
H 0.4421 3.7811 2.0995
H -1.7979 2.3018 5.1905
H 1.9214 1.4176 7.1734
H 0.4421 3.6576 4.0824
H 0.4421 0.0617 10.2644
H -1.0223 4.7029 3.0377
H 0.8761 2.8819 6.1287
H 2.6971 4.7029 3.1443
H -1.9214 2.3018 7.1734
H 2.8432 2.8819 6.2353


Quick one: least stable of them? model B